Entry 1:
! PuBe6Au6 | the Alexandria database | GGA-PBE | optimized geometry; values from VASP
&SYSTEM
  ibrav = 0, nat = 13, ntyp = 3
/
ATOMIC_SPECIES
Pu 244.00 Pu.upf
Be 9.01 Be.upf
Au 196.97 Au.upf
CELL_PARAMETERS angstrom
-2.443 4.279 4.476
2.443 -4.279 4.476
2.443 4.279 -4.476
ATOMIC_POSITIONS angstrom
Pu 0.000 0.000 0.000
Be 1.222 2.140 -2.238
Be 1.222 -2.140 2.238
Be 2.443 2.069 0.000
Be -1.222 2.140 2.238
Be 1.222 2.140 2.238
Be 0.000 2.211 4.476
Au 2.443 0.000 1.632
Au 0.000 2.856 0.000
Au 0.000 0.000 3.079
Au 0.000 0.000 5.873
Au 0.000 5.702 0.000
Au 0.000 4.279 2.844
! SG: Immm
! Energy of formation from the pure elements (eV/atom): -0.164

---

Entry 2:
! Cs2Dy2ZrSe6 | the Alexandria database | GGA-PBE | optimized geometry; values from VASP
&SYSTEM
  ibrav = 0, nat = 11, ntyp = 4
/
ATOMIC_SPECIES
Cs 132.91 Cs.upf
Dy 162.50 Dy.upf
Zr 91.22 Zr.upf
Se 78.96 Se.upf
CELL_PARAMETERS angstrom
3.559 -6.134 0.000
3.559 6.134 0.000
-2.443 0.000 8.579
ATOMIC_POSITIONS angstrom
Cs 3.559 4.055 0.000
Cs 3.559 -4.055 0.000
Dy 2.337 2.050 4.290
Dy 2.337 -2.050 4.290
Zr -1.222 0.000 4.290
Se -0.082 1.946 5.850
Se 1.045 0.000 2.739
Se -0.082 -1.946 5.850
Se 4.756 1.946 2.729
Se 3.629 0.000 5.840
Se 4.756 -1.946 2.729
! Energy relative to the elements, uncorrected (eV per atom): -1.649
! SG: C2/m

---

Entry 3:
! PuMn2H6 | the Alexandria database | GGA-PBE | optimized geometry; values from VASP
&SYSTEM
  ibrav = 0, nat = 9, ntyp = 3
/
ATOMIC_SPECIES
Pu 244.00 Pu.upf
Mn 54.94 Mn.upf
H 1.01 H.upf
CELL_PARAMETERS angstrom
4.330 0.000 0.000
-2.165 3.750 0.000
0.000 0.000 4.341
ATOMIC_POSITIONS angstrom
Pu 0.000 0.000 0.000
Mn 0.000 2.500 2.171
Mn 2.165 1.250 2.171
H -1.082 1.875 1.017
H -1.082 1.875 3.324
H 2.165 0.000 1.017
H 2.165 0.000 3.324
H 1.082 1.875 1.017
H 1.082 1.875 3.324
! SG: P6/mmm

---

Entry 4:
! CdCuOs2O | the Alexandria database | GGA-PBE | optimized geometry; values from VASP
&SYSTEM
  ibrav = 0, nat = 5, ntyp = 4
/
ATOMIC_SPECIES
Cd 112.41 Cd.upf
Cu 63.55 Cu.upf
Os 190.23 Os.upf
O 16.00 O.upf
CELL_PARAMETERS angstrom
4.515 0.000 0.000
0.000 4.515 0.000
0.000 0.000 4.865
ATOMIC_POSITIONS angstrom
Cd 0.000 0.000 0.000
Cu 0.000 0.000 2.432
Os 0.000 2.257 2.432
Os 2.257 0.000 2.432
O 2.257 2.257 0.000
! Energy relative to the elements, uncorrected (eV per atom): 2.159
! SG: P4/mmm

---

Total energy list, top to bottom, in Ry per atom: -0.3307, -0.3909, -0.4440, -0.3180